No. 1
A crystal of LiZnSb2 relaxed with PBEsol, computed with SCAN.

Calculated values
Formation energy without anion corrections   0.088 eV/atom
N(E_F)   2.25 states/eV/f.u.

Cell: 5.017 5.017 5.017 Å, 60.00 60.00 60.00°
Element x y z (fractional)
1 Li 0.000 0.000 0.000
2 Zn 0.250 0.250 0.250
3 Sb 0.500 0.500 0.500
4 Sb 0.750 0.750 0.750

***

No. 2
A crystal of K2HfB relaxed with PBEsol, computed with SCAN.

Calculated values
E_form   4.049 eV/f.u.
N(E_F)   1.64 states/eV/f.u.

Cell: 9.397 9.397 9.397 Å, 93.06 93.06 153.28°
Element x y z (fractional)
1 K 0.375 0.093 0.218
2 K 0.843 0.625 0.718
3 K 0.875 0.157 0.782
4 K 0.907 0.125 0.282
5 Hf 0.250 0.750 0.500
6 Hf 0.500 0.500 0.000
7 B 0.000 0.000 0.000
8 B 0.750 0.250 0.500

***

No. 3
A crystal of KAg2Se relaxed with PBEsol, computed with SCAN.

Calculated values
Formation energy without anion corrections   -0.195 eV/atom
N(E_F)   1.00 states/eV/f.u.

Cell: 3.090 4.267 7.160 Å, 90.00 102.47 90.00°
Element x y z (fractional)
1 K 0.000 0.000 0.000
2 Ag 0.321 0.500 0.635
3 Ag 0.753 0.000 0.499
4 Se 0.632 0.500 0.263

***

No. 4
A crystal of TlBiTeH2 relaxed with PBEsol, computed with SCAN.

Calculated values
N(E_F)   1.30 states/eV/f.u.
Uncorrected energy   -193.2 eV for the cell shown

Cell: 4.215 4.215 6.308 Å, 90.00 90.00 90.00°
Element x y z (fractional)
1 Tl 0.000 0.000 0.000
2 Bi 0.000 0.000 0.500
3 Te 0.500 0.500 0.500
4 H 0.000 0.500 0.000
5 H 0.500 0.000 0.000

***

No. 5
A crystal of Re2MoPb relaxed with PBEsol, computed with SCAN.

Calculated values
E_form   2.845 eV/f.u.
N(E_F)   3.23 states/eV/f.u.

Cell: 2.941 4.037 5.760 Å, 90.00 90.00 90.00°
Element x y z (fractional)
1 Re 0.000 0.000 0.207
2 Re 0.000 0.000 0.793
3 Mo 0.500 0.500 0.000
4 Pb 0.500 0.500 0.500

***

No. 6
A crystal of AgIrO2F relaxed with PBEsol, computed with SCAN.

Calculated values
Formation energy without anion corrections   -0.549 eV/atom
N(E_F)   1.84 states/eV/f.u.

Cell: 3.638 3.638 6.097 Å, 90.00 90.00 90.00°
Element x y z (fractional)
1 Ag 0.000 0.000 0.000
2 Ir 0.500 0.500 0.500
3 O 0.000 0.500 0.500
4 O 0.500 0.000 0.500
5 F 0.500 0.500 0.000

***

No. 7
A crystal of ZrFeGe2 relaxed with PBEsol, computed with SCAN.

Calculated values
E_form   -2.013 eV/f.u.
N(E_F)   2.34 states/eV/f.u.

Cell: 9.044 10.065 7.854 Å, 90.00 90.00 90.00°
Element x y z (fractional)
1 Zr 0.166 0.180 0.000
2 Zr 0.175 0.451 0.244
3 Zr 0.175 0.451 0.756
4 Zr 0.325 0.951 0.244
5 Zr 0.325 0.951 0.756
6 Zr 0.334 0.680 0.000
7 Zr 0.666 0.320 0.000
8 Zr 0.675 0.049 0.244
9 Zr 0.675 0.049 0.756
10 Zr 0.825 0.549 0.244
11 Zr 0.825 0.549 0.756
12 Zr 0.834 0.820 0.000
13 Fe 0.000 0.000 0.247
14 Fe 0.000 0.000 0.753
15 Fe 0.091 0.746 0.250
16 Fe 0.091 0.746 0.750
17 Fe 0.409 0.246 0.250
18 Fe 0.409 0.246 0.750
19 Fe 0.500 0.500 0.247
20 Fe 0.500 0.500 0.753
21 Fe 0.591 0.754 0.250
22 Fe 0.591 0.754 0.750
23 Fe 0.909 0.254 0.250
24 Fe 0.909 0.254 0.750
25 Ge 0.040 0.621 0.000
26 Ge 0.044 0.623 0.500
27 Ge 0.121 0.900 0.500
28 Ge 0.124 0.897 0.000
29 Ge 0.159 0.180 0.343
30 Ge 0.159 0.180 0.657
31 Ge 0.341 0.680 0.343
32 Ge 0.341 0.680 0.657
33 Ge 0.376 0.397 0.000
34 Ge 0.379 0.400 0.500
35 Ge 0.456 0.123 0.500
36 Ge 0.460 0.121 0.000
37 Ge 0.540 0.879 0.000
38 Ge 0.544 0.877 0.500
39 Ge 0.621 0.600 0.500
40 Ge 0.624 0.603 0.000
41 Ge 0.659 0.320 0.343
42 Ge 0.659 0.320 0.657
43 Ge 0.841 0.820 0.343
44 Ge 0.841 0.820 0.657
45 Ge 0.876 0.103 0.000
46 Ge 0.879 0.100 0.500
47 Ge 0.956 0.377 0.500
48 Ge 0.960 0.379 0.000

***

No. 8
A crystal of KTiH2S2O9 relaxed with PBEsol, computed with SCAN.

Calculated values
Uncorrected energy   -270.2 eV for the cell shown

Cell: 7.533 5.284 9.116 Å, 90.00 101.28 90.00°
Element x y z (fractional)
1 K 0.071 0.250 0.217
2 K 0.929 0.750 0.783
3 Ti 0.415 0.750 0.765
4 Ti 0.585 0.250 0.235
5 H 0.307 0.750 0.467
6 H 0.467 0.250 0.498
7 H 0.533 0.750 0.502
8 H 0.693 0.250 0.533
9 S 0.165 0.250 0.641
10 S 0.331 0.750 0.112
11 S 0.669 0.250 0.888
12 S 0.835 0.750 0.359
13 O 0.032 0.750 0.397
14 O 0.137 0.750 0.062
15 O 0.225 0.021 0.739
16 O 0.225 0.479 0.739
17 O 0.253 0.250 0.511
18 O 0.387 0.522 0.209
19 O 0.387 0.978 0.209
20 O 0.419 0.750 0.545
21 O 0.435 0.750 0.990
22 O 0.565 0.250 0.010
23 O 0.581 0.250 0.455
24 O 0.613 0.022 0.791
25 O 0.613 0.478 0.791
26 O 0.747 0.750 0.489
27 O 0.775 0.521 0.261
28 O 0.775 0.979 0.261
29 O 0.863 0.250 0.938
30 O 0.968 0.250 0.603

***

No. 9
A crystal of B2PbF relaxed with PBEsol, computed with SCAN.

Calculated values
Formation energy without anion corrections   1.237 eV/atom
N(E_F)   1.50 states/eV/f.u.

Cell: 4.179 4.179 4.179 Å, 60.00 60.00 60.00°
Element x y z (fractional)
1 B 0.250 0.250 0.250
2 B 0.750 0.750 0.750
3 Pb 0.000 0.000 0.000
4 F 0.500 0.500 0.500

***

No. 10
A crystal of SmCd20Pd2 relaxed with PBEsol, computed with SCAN.

Calculated values
E_form   -4.903 eV/f.u.
N(E_F)   6.06 states/eV/f.u.

Cell: 10.960 10.960 10.960 Å, 60.00 60.00 60.00°
Element x y z (fractional)
1 Sm 0.125 0.125 0.125
2 Sm 0.875 0.875 0.875
3 Cd 0.000 0.000 0.000
4 Cd 0.000 0.000 0.500
5 Cd 0.000 0.500 0.000
6 Cd 0.057 0.323 0.323
7 Cd 0.057 0.323 0.798
8 Cd 0.057 0.798 0.323
9 Cd 0.202 0.677 0.677
10 Cd 0.202 0.677 0.943
11 Cd 0.202 0.943 0.677
12 Cd 0.237 0.237 0.513
13 Cd 0.237 0.513 0.237
14 Cd 0.237 0.513 0.513
15 Cd 0.323 0.057 0.323
16 Cd 0.323 0.057 0.798
17 Cd 0.323 0.323 0.057
18 Cd 0.323 0.323 0.798
19 Cd 0.323 0.798 0.057
20 Cd 0.323 0.798 0.323
21 Cd 0.487 0.487 0.763
22 Cd 0.487 0.763 0.487
23 Cd 0.487 0.763 0.763
24 Cd 0.500 0.000 0.000
25 Cd 0.513 0.237 0.237
26 Cd 0.513 0.237 0.513
27 Cd 0.513 0.513 0.237
28 Cd 0.677 0.202 0.677
29 Cd 0.677 0.202 0.943
30 Cd 0.677 0.677 0.202
31 Cd 0.677 0.677 0.943
32 Cd 0.677 0.943 0.202
33 Cd 0.677 0.943 0.677
34 Cd 0.763 0.487 0.487
35 Cd 0.763 0.487 0.763
36 Cd 0.763 0.763 0.487
37 Cd 0.798 0.057 0.323
38 Cd 0.798 0.323 0.057
39 Cd 0.798 0.323 0.323
40 Cd 0.943 0.202 0.677
41 Cd 0.943 0.677 0.202
42 Cd 0.943 0.677 0.677
43 Pd 0.000 0.500 0.500
44 Pd 0.500 0.000 0.500
45 Pd 0.500 0.500 0.000
46 Pd 0.500 0.500 0.500

***

No. 11
A crystal of TaAlZn relaxed with PBEsol, computed with SCAN.

Calculated values
E_form   -0.284 eV/f.u.
N(E_F)   2.30 states/eV/f.u.

Cell: 4.296 4.296 2.882 Å, 90.00 90.00 120.00°
Element x y z (fractional)
1 Ta 0.000 0.000 0.000
2 Al 0.667 0.333 0.500
3 Zn 0.333 0.667 0.500

***

No. 12
A crystal of RuPt2W relaxed with PBEsol, computed with SCAN.

Calculated values
E_form   -0.546 eV/f.u.
Excess energy over the best structure of this formula in the dataset   0.093 eV per atom
N(E_F)   4.43 states/eV/f.u.

Cell: 4.761 4.761 4.790 Å, 99.20 99.20 33.14°
Element x y z (fractional)
1 Ru 0.000 0.000 0.000
2 Pt 0.505 0.505 0.510
3 Pt 0.748 0.748 0.249
4 W 0.253 0.253 0.758

***

No. 13
A crystal of Ca2HgSb relaxed with PBEsol, computed with SCAN.

Calculated values
Formation energy without anion corrections   -0.738 eV/atom
Excess energy over the best structure of this formula in the dataset   0.195 eV per atom
N(E_F)   1.53 states/eV/f.u.

Cell: 6.382 6.382 6.382 Å, 141.29 137.27 59.01°
Element x y z (fractional)
1 Ca 0.000 0.000 0.000
2 Ca 0.736 0.236 0.500
3 Hg 0.264 0.764 0.500
4 Sb 0.469 0.469 0.000

***

No. 14
A crystal of FeCoNi2 relaxed with PBEsol, computed with SCAN.

Calculated values
E_form   -0.516 eV/f.u.
N(E_F)   2.54 states/eV/f.u.

Cell: 4.306 4.306 4.306 Å, 132.79 132.79 68.98°
Element x y z (fractional)
1 Fe 0.000 0.000 0.000
2 Co 0.500 0.500 0.000
3 Ni 0.250 0.750 0.500
4 Ni 0.750 0.250 0.500

***

No. 15
A crystal of Te2PdRuI relaxed with PBEsol, computed with SCAN.

Calculated values
Formation energy without anion corrections   0.732 eV/atom
N(E_F)   4.83 states/eV/f.u.

Cell: 4.974 4.974 5.536 Å, 90.00 90.00 90.00°
Element x y z (fractional)
1 Te 0.000 0.500 0.000
2 Te 0.500 0.000 0.000
3 Pd 0.000 0.000 0.500
4 Ru 0.500 0.500 0.000
5 I 0.500 0.500 0.500

***

No. 16
A crystal of CuTePdI2 relaxed with PBEsol, computed with SCAN.

Calculated values
Formation energy without anion corrections   0.672 eV/atom
N(E_F)   6.19 states/eV/f.u.

Cell: 5.198 5.198 5.069 Å, 90.00 90.00 90.00°
Element x y z (fractional)
1 Cu 0.000 0.000 0.000
2 Te 0.000 0.000 0.500
3 Pd 0.500 0.500 0.500
4 I 0.000 0.500 0.000
5 I 0.500 0.000 0.000

***

No. 17
A crystal of MnFe2W relaxed with PBEsol, computed with SCAN.

Calculated values
E_form   0.018 eV/f.u.
Excess energy over the best structure of this formula in the dataset   0.000 eV per atom
N(E_F)   1.67 states/eV/f.u.

Cell: 4.076 4.076 4.076 Å, 60.00 60.00 60.00°
Element x y z (fractional)
1 Mn 0.000 0.000 0.000
2 Fe 0.250 0.250 0.250
3 Fe 0.750 0.750 0.750
4 W 0.500 0.500 0.500

***

No. 18
A crystal of Mn4ZnMo relaxed with PBEsol, computed with SCAN.

Calculated values
E_form   0.500 eV/f.u.
N(E_F)   4.37 states/eV/f.u.

Cell: 4.638 4.638 4.638 Å, 60.00 60.00 60.00°
Element x y z (fractional)
1 Mn 0.376 0.376 0.376
2 Mn 0.376 0.376 0.872
3 Mn 0.376 0.872 0.376
4 Mn 0.872 0.376 0.376
5 Zn 0.750 0.750 0.750
6 Mo 0.000 0.000 0.000

***

No. 19
A crystal of Mn2BeIr relaxed with PBEsol, computed with SCAN.

Calculated values
E_form   -1.058 eV/f.u.
N(E_F)   2.42 states/eV/f.u.

Cell: 4.664 4.664 4.664 Å, 145.61 132.11 60.28°
Element x y z (fractional)
1 Mn 0.238 0.238 0.000
2 Mn 0.762 0.762 0.000
3 Be 0.000 0.500 0.500
4 Ir 0.500 0.000 0.500

***

No. 20
A crystal of BeSb2P2 relaxed with PBEsol, computed with SCAN.

Calculated values
Formation energy without anion corrections   0.280 eV/atom
N(E_F)   1.40 states/eV/f.u.

Cell: 5.247 5.247 5.247 Å, 116.89 116.89 95.48°
Element x y z (fractional)
1 Be 0.000 0.000 0.000
2 Sb 0.250 0.750 0.500
3 Sb 0.750 0.250 0.500
4 P 0.288 0.288 0.000
5 P 0.712 0.712 0.000